[1]
# Ac2TeS PBE relaxed
data_Ac2TeS
_cell_length_a 3.8873
_cell_length_b 3.8873
_cell_length_c 7.8304
_cell_angle_alpha 90.00
_cell_angle_beta 90.00
_cell_angle_gamma 90.00
_space_group_name_H-M_alt 'P 4/m m m'
_space_group_IT_number 123
_space_group_name_Hall '-P 4 2'
loop_
_atom_site_label
_atom_site_fract_x
_atom_site_fract_y
_atom_site_fract_z
_atom_site_occupancy
Ac1 0.0000 0.0000 0.2374 1
Te1 0.5000 0.5000 0.5000 1
S1 0.5000 0.5000 0.0000 1
# E above lowest polymorph: 265 meV per atom
# Calculated volume: 29.58 Å³/atom
# E: -5.35 eV per atom
# M_tot: 0.00 μB/atom
# Formation energy without anion corrections: -5.931 eV per formula unit

---

[2]
# YZr2ScN PBE relaxed
data_YZr2ScN
_cell_length_a 4.8214
_cell_length_b 4.8214
_cell_length_c 5.7177
_cell_angle_alpha 90.00
_cell_angle_beta 90.00
_cell_angle_gamma 90.00
_space_group_name_H-M_alt 'P 4/m m m'
_space_group_IT_number 123
_space_group_name_Hall '-P 4 2'
loop_
_atom_site_label
_atom_site_fract_x
_atom_site_fract_y
_atom_site_fract_z
_atom_site_occupancy
Y1 0.0000 0.0000 0.0000 1
Zr1 0.0000 0.5000 0.5000 1
Sc1 0.0000 0.0000 0.5000 1
N1 0.5000 0.5000 0.0000 1
# E above lowest polymorph: 2550 meV per atom
# Calculated volume: 26.58 Å³/atom
# E: -5.72 eV per atom
# M_tot: 0.00 μB/atom
# Formation energy without anion corrections: 9.626 eV per formula unit